! PBE SnPb3S4, optimized geometry; values from VASP
&SYSTEM
  ibrav = 0, nat = 8, ntyp = 3
/
ATOMIC_SPECIES
Sn 118.71 Sn.upf
Pb 207.20 Pb.upf
S 32.06 S.upf
CELL_PARAMETERS angstrom
-3.845 1.059 1.356
-1.587 -3.466 -1.792
1.889 -6.094 10.115
ATOMIC_POSITIONS crystal
Sn 0.000 0.000 0.000
Pb 0.500 0.500 0.248
Pb 0.000 0.000 0.500
Pb 0.500 0.500 0.752
S 0.500 0.500 0.000
S 0.000 0.000 0.754
S 0.500 0.500 0.500
S 0.000 0.000 0.246
! Energy relative to the lowest polymorph listed for this composition, meV per atom: 8.1
! Uncorrected formation energy, eV per atom: -0.497
! Total magnetization, μB per atom: 0.000



! PBE Sn4PbS8, optimized geometry; values from VASP
&SYSTEM
  ibrav = 0, nat = 13, ntyp = 3
/
ATOMIC_SPECIES
S 32.06 S.upf
Sn 118.71 Sn.upf
Pb 207.20 Pb.upf
CELL_PARAMETERS angstrom
6.937 0.000 3.163
2.747 6.370 3.163
0.337 0.221 8.449
ATOMIC_POSITIONS crystal
S 0.756 0.279 0.209
S 0.279 0.756 0.209
S 0.734 0.734 0.799
S 0.721 0.244 0.791
S 0.266 0.266 0.201
S 0.756 0.756 0.209
S 0.244 0.244 0.791
S 0.244 0.721 0.791
Sn 0.000 0.000 0.000
Sn 0.500 0.000 0.000
Sn 0.000 0.500 0.000
Sn 0.500 0.500 0.000
Pb 0.500 0.500 0.500
! Energy relative to the lowest polymorph listed for this composition, meV per atom: 0.0
! Uncorrected formation energy, eV per atom: -0.376
! Total magnetization, μB per atom: 0.000



! PBE Sn3PbS, optimized geometry; values from VASP
&SYSTEM
  ibrav = 0, nat = 5, ntyp = 3
/
ATOMIC_SPECIES
Sn 118.71 Sn.upf
S 32.06 S.upf
Pb 207.20 Pb.upf
CELL_PARAMETERS angstrom
-2.903 4.073 -1.965
-2.162 -3.301 -3.647
-3.972 -1.179 3.422
ATOMIC_POSITIONS crystal
Sn 0.500 0.000 0.000
Sn 0.000 0.000 0.500
Sn 0.000 0.500 0.000
S 0.000 0.000 0.000
Pb 0.500 0.500 0.500
! Energy relative to the lowest polymorph listed for this composition, meV per atom: 0.0
! Uncorrected formation energy, eV per atom: 0.149
! Total magnetization, μB per atom: 0.000



! PBE Sn2PbS3, optimized geometry; values from VASP
&SYSTEM
  ibrav = 0, nat = 12, ntyp = 3
/
ATOMIC_SPECIES
S 32.06 S.upf
Sn 118.71 Sn.upf
Pb 207.20 Pb.upf
CELL_PARAMETERS angstrom
-0.855 2.436 3.181
-6.878 -0.735 -1.287
1.962 -8.269 6.861
ATOMIC_POSITIONS crystal
S 0.750 0.874 0.344
S 0.250 0.126 0.656
S 0.250 0.242 0.001
S 0.750 0.758 0.999
S 0.250 0.352 0.340
S 0.750 0.648 0.660
Sn 0.250 0.981 0.175
Sn 0.250 0.755 0.501
Sn 0.750 0.019 0.825
Sn 0.750 0.245 0.499
Pb 0.750 0.468 0.165
Pb 0.250 0.532 0.835
! Energy relative to the lowest polymorph listed for this composition, meV per atom: 0.0
! Uncorrected formation energy, eV per atom: -0.389
! Total magnetization, μB per atom: 0.000



! PBE Sn2PbS, optimized geometry; values from VASP
&SYSTEM
  ibrav = 0, nat = 8, ntyp = 3
/
ATOMIC_SPECIES
S 32.06 S.upf
Sn 118.71 Sn.upf
Pb 207.20 Pb.upf
CELL_PARAMETERS angstrom
-2.959 1.655 3.172
1.795 -2.875 3.174
6.452 6.775 5.884
ATOMIC_POSITIONS crystal
S 0.500 0.500 0.000
S 0.250 0.750 0.500
Sn 0.375 0.433 0.750
Sn 0.567 0.125 0.250
Sn 0.183 0.625 0.250
Sn 0.875 0.817 0.750
Pb 0.750 0.250 0.500
Pb 0.000 0.000 0.000
! Energy relative to the lowest polymorph listed for this composition, meV per atom: 27.9
! Uncorrected formation energy, eV per atom: 0.026
! Total magnetization, μB per atom: 0.000



! PBE Sn4PbS5, optimized geometry; values from VASP
&SYSTEM
  ibrav = 0, nat = 10, ntyp = 3
/
ATOMIC_SPECIES
Sn 118.71 Sn.upf
S 32.06 S.upf
Pb 207.20 Pb.upf
CELL_PARAMETERS angstrom
-2.695 2.906 1.233
-6.391 -3.242 0.655
-0.897 -1.722 9.083
ATOMIC_POSITIONS crystal
Sn 0.200 0.399 0.202
Sn 0.800 0.601 0.798
Sn 0.600 0.201 0.599
Sn 0.400 0.799 0.401
S 0.396 0.309 0.898
S 0.798 0.099 0.306
S 0.202 0.901 0.694
S 0.604 0.691 0.102
S 0.000 0.500 0.500
Pb 0.000 0.000 0.000
! Uncorrected formation energy, eV per atom: -0.427
! Total magnetization, μB per atom: 0.000



! PBE SnPb4S6, optimized geometry; values from VASP
&SYSTEM
  ibrav = 0, nat = 22, ntyp = 3
/
ATOMIC_SPECIES
S 32.06 S.upf
Pb 207.20 Pb.upf
Sn 118.71 Sn.upf
CELL_PARAMETERS angstrom
7.319 0.000 2.210
3.385 7.637 2.015
0.228 -0.148 12.470
ATOMIC_POSITIONS crystal
S 0.906 0.032 0.638
S 0.732 0.778 0.196
S 0.015 0.608 0.439
S 0.293 0.278 0.696
S 0.424 0.532 0.138
S 0.495 0.074 0.441
S 0.990 0.574 0.941
S 0.400 0.153 0.000
S 0.446 0.653 0.500
S 0.937 0.108 0.939
S 0.627 0.639 0.762
S 0.972 0.139 0.262
Pb 0.302 0.948 0.654
Pb 0.572 0.743 0.968
Pb 0.649 0.279 0.797
Pb 0.718 0.243 0.468
Pb 0.688 0.158 0.162
Pb 0.992 0.658 0.662
Pb 0.275 0.779 0.297
Pb 0.095 0.448 0.154
Sn 0.140 0.273 0.896
Sn 0.691 0.773 0.396
! Uncorrected formation energy, eV per atom: -0.427
! Total magnetization, μB per atom: 0.000



! PBE Sn2PbS, optimized geometry; values from VASP
&SYSTEM
  ibrav = 0, nat = 4, ntyp = 3
/
ATOMIC_SPECIES
Pb 207.20 Pb.upf
Sn 118.71 Sn.upf
S 32.06 S.upf
CELL_PARAMETERS angstrom
-1.507 -0.558 -3.131
0.832 -2.865 -1.867
-7.923 -6.403 2.978
ATOMIC_POSITIONS crystal
Pb 0.000 0.000 0.000
Sn 0.105 0.105 0.685
Sn 0.895 0.895 0.315
S 0.500 0.500 0.500
! Energy relative to the lowest polymorph listed for this composition, meV per atom: 0.0
! Uncorrected formation energy, eV per atom: -0.002
! Total magnetization, μB per atom: 0.000



! PBE Sn4PbS8, optimized geometry; values from VASP
&SYSTEM
  ibrav = 0, nat = 13, ntyp = 3
/
ATOMIC_SPECIES
Sn 118.71 Sn.upf
S 32.06 S.upf
Pb 207.20 Pb.upf
CELL_PARAMETERS angstrom
7.936 0.000 0.000
3.968 6.872 0.000
3.968 2.291 6.479
ATOMIC_POSITIONS crystal
Sn 0.369 0.369 0.369
Sn 0.369 0.894 0.369
Sn 0.369 0.369 0.894
Sn 0.894 0.369 0.369
S 0.175 0.608 0.608
S 0.132 0.605 0.132
S 0.132 0.132 0.605
S 0.608 0.608 0.175
S 0.605 0.132 0.132
S 0.608 0.608 0.608
S 0.608 0.175 0.608
S 0.132 0.132 0.132
Pb 0.750 0.750 0.750
! Energy relative to the lowest polymorph listed for this composition, meV per atom: 87.9
! Uncorrected formation energy, eV per atom: -0.288
! Total magnetization, μB per atom: 0.000



! PBE SnPbS3, optimized geometry; values from VASP
&SYSTEM
  ibrav = 0, nat = 5, ntyp = 3
/
ATOMIC_SPECIES
S 32.06 S.upf
Sn 118.71 Sn.upf
Pb 207.20 Pb.upf
CELL_PARAMETERS angstrom
-4.182 1.902 -1.988
-2.444 -4.229 1.096
-1.263 1.886 4.462
ATOMIC_POSITIONS crystal
S 0.000 0.500 0.000
S 0.000 0.000 0.500
S 0.500 0.000 0.000
Sn 0.000 0.000 0.000
Pb 0.500 0.500 0.500
! Uncorrected formation energy, eV per atom: -0.064
! Total magnetization, μB per atom: 0.000



! PBE SnPb2S, optimized geometry; values from VASP
&SYSTEM
  ibrav = 0, nat = 4, ntyp = 3
/
ATOMIC_SPECIES
Sn 118.71 Sn.upf
Pb 207.20 Pb.upf
S 32.06 S.upf
CELL_PARAMETERS angstrom
0.000 3.766 3.766
3.766 0.000 3.766
3.766 3.766 0.000
ATOMIC_POSITIONS crystal
Sn 0.500 0.500 0.500
Pb 0.750 0.750 0.750
Pb 0.250 0.250 0.250
S 0.000 0.000 0.000
! Energy relative to the lowest polymorph listed for this composition, meV per atom: 32.0
! Uncorrected formation energy, eV per atom: 0.072
! Total magnetization, μB per atom: 0.000



! PBE SnPb3S4, optimized geometry; values from VASP
&SYSTEM
  ibrav = 0, nat = 16, ntyp = 3
/
ATOMIC_SPECIES
Pb 207.20 Pb.upf
Sn 118.71 Sn.upf
S 32.06 S.upf
CELL_PARAMETERS angstrom
5.989 0.000 0.000
0.000 5.986 0.000
0.000 0.000 11.939
ATOMIC_POSITIONS crystal
Pb 0.068 0.751 0.250
Pb 0.071 0.246 0.500
Pb 0.068 0.751 0.750
Pb 0.571 0.754 0.000
Pb 0.568 0.249 0.750
Pb 0.568 0.249 0.250
Sn 0.580 0.763 0.500
Sn 0.080 0.237 0.000
S 0.562 0.217 0.500
S 0.066 0.248 0.248
S 0.566 0.752 0.252
S 0.062 0.783 0.000
S 0.533 0.246 0.000
S 0.066 0.248 0.752
S 0.566 0.752 0.748
S 0.033 0.754 0.500
! Energy relative to the lowest polymorph listed for this composition, meV per atom: 0.0
! Uncorrected formation energy, eV per atom: -0.505
! Total magnetization, μB per atom: 0.000



! PBE Sn2PbS, optimized geometry; values from VASP
&SYSTEM
  ibrav = 0, nat = 4, ntyp = 3
/
ATOMIC_SPECIES
S 32.06 S.upf
Pb 207.20 Pb.upf
Sn 118.71 Sn.upf
CELL_PARAMETERS angstrom
-1.179 1.828 4.775
-3.449 -2.562 3.012
1.645 -2.566 4.271
ATOMIC_POSITIONS crystal
S 0.000 0.000 0.000
Pb 0.500 0.500 0.500
Sn 0.250 0.250 0.250
Sn 0.750 0.750 0.750
! Energy relative to the lowest polymorph listed for this composition, meV per atom: 138.2
! Uncorrected formation energy, eV per atom: 0.137
! Total magnetization, μB per atom: 0.000



! PBE Sn3PbS, optimized geometry; values from VASP
&SYSTEM
  ibrav = 0, nat = 5, ntyp = 3
/
ATOMIC_SPECIES
Sn 118.71 Sn.upf
Pb 207.20 Pb.upf
S 32.06 S.upf
CELL_PARAMETERS angstrom
5.813 0.000 0.000
0.000 5.813 0.000
0.000 0.000 5.813
ATOMIC_POSITIONS crystal
Sn 0.500 0.000 0.000
Sn 0.000 0.500 0.000
Sn 0.000 0.000 0.500
Pb 0.000 0.000 0.000
S 0.500 0.500 0.500
! Energy relative to the lowest polymorph listed for this composition, meV per atom: 767.1
! Uncorrected formation energy, eV per atom: 0.916
! Total magnetization, μB per atom: 0.000



! PBE Sn3PbS6, optimized geometry; values from VASP
&SYSTEM
  ibrav = 0, nat = 20, ntyp = 3
/
ATOMIC_SPECIES
Sn 118.71 Sn.upf
S 32.06 S.upf
Pb 207.20 Pb.upf
CELL_PARAMETERS angstrom
-1.576 -3.400 0.738
10.198 -5.307 -2.672
0.182 2.382 11.361
ATOMIC_POSITIONS crystal
Sn 0.750 0.136 0.083
Sn 0.750 0.449 0.845
Sn 0.250 0.341 0.542
Sn 0.750 0.659 0.458
Sn 0.250 0.864 0.917
Sn 0.250 0.551 0.155
S 0.750 0.395 0.052
S 0.250 0.298 0.761
S 0.250 0.871 0.529
S 0.250 0.084 0.916
S 0.750 0.129 0.471
S 0.750 0.916 0.084
S 0.250 0.202 0.229
S 0.250 0.605 0.948
S 0.750 0.702 0.239
S 0.750 0.798 0.771
S 0.250 0.500 0.351
S 0.750 0.500 0.649
Pb 0.250 0.980 0.340
Pb 0.750 0.020 0.660
! Energy relative to the lowest polymorph listed for this composition, meV per atom: 25.7
! Uncorrected formation energy, eV per atom: -0.356
! Total magnetization, μB per atom: 0.000



! PBE Sn4PbS5, optimized geometry; values from VASP
&SYSTEM
  ibrav = 0, nat = 10, ntyp = 3
/
ATOMIC_SPECIES
Sn 118.71 Sn.upf
S 32.06 S.upf
Pb 207.20 Pb.upf
CELL_PARAMETERS angstrom
5.917 0.000 0.000
2.959 6.568 0.000
2.959 0.000 6.568
ATOMIC_POSITIONS crystal
Sn 0.616 0.600 0.200
Sn 0.816 0.800 0.600
Sn 0.416 0.400 0.800
Sn 0.216 0.200 0.400
S 0.288 0.795 0.594
S 0.678 0.205 0.406
S 0.882 0.406 0.795
S 0.502 0.000 0.000
S 0.084 0.594 0.205
Pb 0.011 0.000 0.000
! Uncorrected formation energy, eV per atom: -0.428
! Total magnetization, μB per atom: 0.000



! PBE Sn2PbS2, optimized geometry; values from VASP
&SYSTEM
  ibrav = 0, nat = 5, ntyp = 3
/
ATOMIC_SPECIES
Sn 118.71 Sn.upf
S 32.06 S.upf
Pb 207.20 Pb.upf
CELL_PARAMETERS angstrom
-5.072 -1.993 0.202
1.086 -3.197 -4.282
-0.566 -5.937 0.817
ATOMIC_POSITIONS crystal
Sn 0.666 0.666 0.668
Sn 0.334 0.334 0.332
S 0.750 0.250 0.500
S 0.250 0.750 0.500
Pb 0.000 0.000 0.000
! Energy relative to the lowest polymorph listed for this composition, meV per atom: 93.1
! Uncorrected formation energy, eV per atom: -0.067
! Total magnetization, μB per atom: 0.000



! PBE SnPbS3, optimized geometry; values from VASP
&SYSTEM
  ibrav = 0, nat = 20, ntyp = 3
/
ATOMIC_SPECIES
Sn 118.71 Sn.upf
S 32.06 S.upf
Pb 207.20 Pb.upf
CELL_PARAMETERS angstrom
3.855 0.000 0.000
0.000 9.049 0.000
0.000 0.000 14.288
ATOMIC_POSITIONS crystal
Sn 0.250 0.166 0.950
Sn 0.750 0.334 0.450
Sn 0.750 0.834 0.050
Sn 0.250 0.666 0.550
S 0.250 0.516 0.396
S 0.750 0.337 0.007
S 0.750 0.484 0.604
S 0.250 0.016 0.104
S 0.250 0.663 0.993
S 0.250 0.163 0.507
S 0.250 0.280 0.789
S 0.250 0.780 0.711
S 0.750 0.220 0.289
S 0.750 0.837 0.493
S 0.750 0.720 0.211
S 0.750 0.984 0.896
Pb 0.750 0.991 0.671
Pb 0.250 0.009 0.329
Pb 0.250 0.509 0.171
Pb 0.750 0.491 0.829
! Uncorrected formation energy, eV per atom: -0.437
! Total magnetization, μB per atom: 0.000



! PBE Sn2PbS2, optimized geometry; values from VASP
&SYSTEM
  ibrav = 0, nat = 10, ntyp = 3
/
ATOMIC_SPECIES
Sn 118.71 Sn.upf
Pb 207.20 Pb.upf
S 32.06 S.upf
CELL_PARAMETERS angstrom
8.131 0.000 0.000
0.000 8.131 0.000
0.000 0.000 4.075
ATOMIC_POSITIONS crystal
Sn 0.324 0.176 0.500
Sn 0.176 0.676 0.500
Sn 0.676 0.824 0.500
Sn 0.824 0.324 0.500
Pb 0.000 0.000 0.000
Pb 0.500 0.500 0.000
S 0.831 0.669 0.000
S 0.169 0.331 0.000
S 0.331 0.831 0.000
S 0.669 0.169 0.000
! Energy relative to the lowest polymorph listed for this composition, meV per atom: 0.0
! Uncorrected formation energy, eV per atom: -0.160
! Total magnetization, μB per atom: 0.000



! PBE Sr2SnPbS4, optimized geometry; values from VASP
&SYSTEM
  ibrav = 0, nat = 8, ntyp = 4
/
ATOMIC_SPECIES
S 32.06 S.upf
Sr 87.62 Sr.upf
Sn 118.71 Sn.upf
Pb 207.20 Pb.upf
CELL_PARAMETERS angstrom
-1.066 3.929 -1.217
-4.796 0.430 5.588
3.387 2.755 5.927
ATOMIC_POSITIONS crystal
S 0.500 0.751 0.247
S 0.000 0.250 0.247
S 0.000 0.750 0.753
S 0.500 0.249 0.753
Sr 0.000 0.000 0.000
Sr 0.500 0.000 0.500
Sn 0.500 0.500 0.000
Pb 0.000 0.500 0.500
! Uncorrected formation energy, eV per atom: -1.287
! Total magnetization, μB per atom: 0.000



! PBE Sr2SnPbS5, optimized geometry; values from VASP
&SYSTEM
  ibrav = 0, nat = 18, ntyp = 4
/
ATOMIC_SPECIES
S 32.06 S.upf
Pb 207.20 Pb.upf
Sr 87.62 Sr.upf
Sn 118.71 Sn.upf
CELL_PARAMETERS angstrom
-1.747 -1.361 -3.404
-3.753 -5.867 6.693
-9.557 8.043 1.690
ATOMIC_POSITIONS crystal
S 0.484 0.967 0.765
S 0.030 0.060 0.042
S 0.665 0.331 0.853
S 0.970 0.940 0.542
S 0.283 0.566 0.693
S 0.335 0.669 0.353
S 0.717 0.434 0.193
S 0.357 0.714 0.005
S 0.516 0.033 0.265
S 0.643 0.286 0.505
Pb 0.213 0.427 0.037
Pb 0.787 0.573 0.537
Sr 0.135 0.270 0.325
Sr 0.880 0.761 0.176
Sr 0.865 0.730 0.825
Sr 0.120 0.239 0.676
Sn 0.452 0.903 0.427
Sn 0.548 0.097 0.927
! Uncorrected formation energy, eV per atom: -1.165
! Total magnetization, μB per atom: 0.000